Record 1
A geometry-optimized Cs2O3 structure. Source: Alexandria, functional PBE.

Total moment, μB per cell: 4.00
Space group: I-43d, No. 220
Formation energy (no corrections), eV/f.u.: -4.68
Density of states at the Fermi level, states/eV/cell: 31.04

abc: 8.580 8.580 8.580
angles: 109.47 109.47 109.47
Fractional positions:
Cs 0.000 0.398 0.500
Cs 0.000 0.898 0.500
Cs 0.102 0.102 0.102
Cs 0.398 0.500 0.000
Cs 0.500 0.000 0.398
Cs 0.500 0.000 0.898
Cs 0.602 0.602 0.602
Cs 0.898 0.500 0.000
O 0.054 0.750 0.804
O 0.196 0.750 0.946
O 0.250 0.554 0.304
O 0.250 0.696 0.446
O 0.304 0.250 0.554
O 0.446 0.250 0.696
O 0.554 0.304 0.250
O 0.696 0.446 0.250
O 0.750 0.804 0.054
O 0.750 0.946 0.196
O 0.804 0.054 0.750
O 0.946 0.196 0.750

Record 2
A geometry-optimized Dy3CI7 structure. Source: Alexandria, functional PBE.

Total moment, μB per cell: 2.03
Space group: P3m1, No. 156
Formation energy (no corrections), eV/f.u.: -9.96
Density of states at the Fermi level, states/eV/cell: 5.45

abc: 8.502 8.502 7.776
angles: 90.00 90.00 120.00
Fractional positions:
Dy 0.024 0.512 0.000
Dy 0.488 0.512 0.000
Dy 0.488 0.976 0.000
C 0.333 0.667 0.084
I 0.165 0.330 0.756
I 0.165 0.835 0.756
I 0.334 0.167 0.220
I 0.667 0.333 0.766
I 0.670 0.835 0.756
I 0.833 0.167 0.220
I 0.833 0.666 0.220